1.
First-principles (PBE) data for a relaxed Ho15Er4In crystal, as listed in the Alexandria database.

The structure in POSCAR format:
```
Ho15Er4In
1.0
-3.3877 3.1799 -1.6501
-3.5070 -2.4797 2.4215
3.7014 14.3513 20.0572
Ho Er In
15 4 1
direct
0.5000 0.5000 0.0000
0.5000 0.5000 0.1960
0.5000 0.5000 0.3987
0.5000 0.5000 0.6013
0.5000 0.5000 0.8040
0.5000 0.0000 0.0971
0.5000 0.0000 0.2985
0.5000 0.0000 0.5000
0.5000 0.0000 0.7015
0.5000 0.0000 0.9029
0.0000 0.5000 0.0971
0.0000 0.5000 0.2985
0.0000 0.5000 0.5000
0.0000 0.5000 0.7015
0.0000 0.5000 0.9029
0.0000 0.0000 0.1982
0.0000 0.0000 0.3992
0.0000 0.0000 0.6008
0.0000 0.0000 0.8018
0.0000 0.0000 0.0000
```

Properties
* ΔH_f (0 K): -0.66 eV/f.u.
* space group: No. 123
* Fermi-level density of states: 1.1733 states/eV/atom



2.
First-principles (PBE) data for a relaxed Ho3Er4In4 crystal, as listed in the Alexandria database.

The structure in POSCAR format:
```
Ho3Er4In4
1.0
3.6293 0.0000 0.0000
0.0000 9.4602 0.0000
-1.8147 -4.7301 9.2312
Ho Er In
3 4 4
direct
0.0974 0.0974 0.1949
0.9026 0.9026 0.8051
0.0000 0.5000 0.0000
0.3362 0.1443 0.6723
0.6638 0.4720 0.3277
0.6638 0.8557 0.3277
0.3362 0.5280 0.6723
0.2659 0.7659 0.5317
0.7341 0.2341 0.4683
0.5000 0.7804 0.0000
0.5000 0.2196 0.0000
```

Properties
* ΔH_f (0 K): -3.11 eV/f.u.
* space group: No. 71
* Fermi-level density of states: 1.1035 states/eV/atom



3.
First-principles (PBE) data for a relaxed Ho4Er7In crystal, as listed in the Alexandria database.

The structure in POSCAR format:
```
Ho4Er7In
1.0
-0.5157 1.8694 5.9959
-5.2708 -1.4674 0.0037
-0.0311 -10.0704 5.2857
Ho Er In
4 7 1
direct
0.6510 0.3833 0.2331
0.3490 0.6167 0.7669
0.8926 0.7088 0.5824
0.1074 0.2912 0.4176
0.8100 0.5476 0.9051
0.1900 0.4524 0.0949
0.0046 0.1362 0.7280
0.9954 0.8638 0.2720
0.4328 0.7897 0.4207
0.5000 0.0000 0.0000
0.5672 0.2103 0.5793
0.0000 0.0000 0.0000
```

Properties
* ΔH_f (0 K): 0.39 eV/f.u.
* space group: No. 12
* Fermi-level density of states: 1.5333 states/eV/atom
* energy relative to the lowest polymorph listed for this composition: 0.00 kJ/mol of atoms



4.
First-principles (PBE) data for a relaxed Ho4Er5In2 crystal, as listed in the Alexandria database.

The structure in POSCAR format:
```
Ho4Er5In2
1.0
-2.7596 -0.4354 1.9981
-2.4629 -5.9837 -4.7053
7.6317 -7.6216 5.9270
Ho Er In
4 5 2
direct
0.9108 0.7368 0.8216
0.0443 0.6606 0.0885
0.0892 0.2632 0.1784
0.9557 0.3394 0.9115
0.1632 0.9033 0.3265
0.8368 0.0967 0.6735
0.2250 0.3017 0.4500
0.5000 0.0000 0.0000
0.7750 0.6983 0.5500
0.3465 0.4360 0.6931
0.6535 0.5640 0.3069
```

Properties
* ΔH_f (0 K): 0.45 eV/f.u.
* space group: No. 12
* Fermi-level density of states: 1.4638 states/eV/atom



5.
First-principles (PBE) data for a relaxed Ho3ErIn2 crystal, as listed in the Alexandria database.

The structure in POSCAR format:
```
Ho3ErIn2
1.0
-4.9911 0.6748 1.0411
-1.0893 -6.5232 -0.9940
1.7395 -1.7322 9.4616
Ho Er In
6 2 4
direct
0.0000 0.4626 0.9633
0.0000 0.9626 0.0367
0.5000 0.6834 0.1830
0.5000 0.1834 0.8170
0.0000 0.3166 0.3182
0.0000 0.8166 0.6818
0.5000 0.5373 0.5370
0.5000 0.0373 0.4630
0.5000 0.7086 0.8590
0.5000 0.2086 0.1410
0.0000 0.2916 0.6409
0.0000 0.7916 0.3591
```

Properties
* ΔH_f (0 K): -2.13 eV/f.u.
* space group: No. 26
* Fermi-level density of states: 0.9053 states/eV/atom
* energy relative to the lowest polymorph listed for this composition: 0.00 kJ/mol of atoms



6.
First-principles (PBE) data for a relaxed HoEr7In2 crystal, as listed in the Alexandria database.

The structure in POSCAR format:
```
HoEr7In2
1.0
5.3560 0.0000 0.0000
0.0000 8.8979 -0.2058
0.0000 -4.1100 7.8945
Ho Er In
1 7 2
direct
0.0000 0.0000 0.0000
0.0000 0.7733 0.2267
0.0000 0.2267 0.7733
0.5000 0.0598 0.3017
0.5000 0.9402 0.6983
0.5000 0.3017 0.0598
0.5000 0.6983 0.9402
0.5000 0.5000 0.5000
0.5000 0.6960 0.3040
0.5000 0.3040 0.6960
```

Properties
* ΔH_f (0 K): 3.57 eV/f.u.
* space group: No. 65
* Fermi-level density of states: 1.9533 states/eV/atom



7.
First-principles (PBE) data for a relaxed Ho4Er6In crystal, as listed in the Alexandria database.

The structure in POSCAR format:
```
Ho4Er6In
1.0
6.4231 0.0000 0.0000
0.0000 6.4231 0.0000
-3.2116 -3.2116 8.3967
Ho Er In
4 6 1
direct
0.0413 0.6887 0.7300
0.9587 0.9587 0.2700
0.6887 0.0413 0.7300
0.3113 0.3113 0.2700
0.8513 0.4845 0.3358
0.4845 0.8513 0.3358
0.5155 0.5155 0.6642
0.0000 0.5000 0.0000
0.1487 0.1487 0.6642
0.5000 0.0000 0.0000
0.5000 0.5000 0.0000
```

Properties
* ΔH_f (0 K): 2.15 eV/f.u.
* space group: No. 121
* Fermi-level density of states: 0.9543 states/eV/atom



8.
First-principles (PBE) data for a relaxed Ho2Er6In3 crystal, as listed in the Alexandria database.

The structure in POSCAR format:
```
Ho2Er6In3
1.0
4.4977 0.0000 0.0000
0.0000 4.4977 0.0000
-2.2489 -2.2489 16.5621
Ho Er In
2 6 3
direct
0.4548 0.4548 0.9097
0.5452 0.5452 0.0903
0.1274 0.6274 0.2547
0.6274 0.1274 0.2547
0.8726 0.3726 0.7453
0.3726 0.8726 0.7453
0.7127 0.7127 0.4253
0.2873 0.2873 0.5747
0.0000 0.0000 0.0000
0.8062 0.8062 0.6123
0.1938 0.1938 0.3877
```

Properties
* ΔH_f (0 K): 0.32 eV/f.u.
* space group: No. 139
* Fermi-level density of states: 1.2457 states/eV/atom



9.
First-principles (PBE) data for a relaxed Ho6Er3In crystal, as listed in the Alexandria database.

The structure in POSCAR format:
```
Ho6Er3In
1.0
3.5160 0.0000 0.0000
0.0000 12.6229 -1.8375
0.0000 -6.2423 14.6236
Ho Er In
12 6 2
direct
0.7500 0.5972 0.7112
0.2500 0.4028 0.2888
0.7500 0.8594 0.1059
0.2500 0.1406 0.8941
0.7500 0.3805 0.0990
0.2500 0.6195 0.9010
0.7500 0.6632 0.3070
0.2500 0.3368 0.6930
0.7500 0.1148 0.4775
0.2500 0.8852 0.5225
0.7500 0.8797 0.7161
0.2500 0.1203 0.2839
0.7500 0.3883 0.8977
0.2500 0.6117 0.1023
0.7500 0.6181 0.4956
0.2500 0.3819 0.5044
0.7500 0.1240 0.0924
0.2500 0.8760 0.9076
0.7500 0.1192 0.6970
0.2500 0.8808 0.3030
```

Properties
* ΔH_f (0 K): -0.32 eV/f.u.
* space group: No. 11
* Fermi-level density of states: 1.4342 states/eV/atom
* energy relative to the lowest polymorph listed for this composition: 4.00 kJ/mol of atoms



10.
First-principles (PBE) data for a relaxed Ho2Er4In crystal, as listed in the Alexandria database.

The structure in POSCAR format:
```
Ho2Er4In
1.0
6.0617 0.2759 -1.9875
-2.6198 5.4733 -1.9875
1.1177 1.8669 11.3033
In Ho Er
2 4 8
direct
0.9013 0.4013 0.5000
0.6513 0.6513 0.0000
0.4313 0.5021 0.4751
0.0269 0.9561 0.5249
0.2061 0.7769 0.0249
0.7521 0.1813 0.9751
0.2907 0.7136 0.7327
0.9636 0.0407 0.2327
0.2152 0.2353 0.8383
0.4853 0.9652 0.3383
0.6269 0.1470 0.6617
0.9810 0.5581 0.2673
0.8081 0.7310 0.7673
0.3970 0.3769 0.1617
```

Properties
* ΔH_f (0 K): -0.27 eV/f.u.
* space group: No. 43
* Fermi-level density of states: 1.4411 states/eV/atom
* energy relative to the lowest polymorph listed for this composition: 0.00 kJ/mol of atoms



11.
First-principles (PBE) data for a relaxed Ho3ErIn2 crystal, as listed in the Alexandria database.

The structure in POSCAR format:
```
Ho3ErIn2
1.0
3.3749 0.0000 0.0000
0.0000 5.6477 0.0000
-1.6874 -2.8238 9.2892
Ho Er In
3 1 2
direct
0.0000 0.5000 0.0000
0.8135 0.8135 0.6270
0.1865 0.1865 0.3730
0.0000 0.0000 0.0000
0.6459 0.6459 0.2917
0.3541 0.3541 0.7083
```

Properties
* ΔH_f (0 K): 0.73 eV/f.u.
* space group: No. 71
* Fermi-level density of states: 1.3823 states/eV/atom
* energy relative to the lowest polymorph listed for this composition: 45.94 kJ/mol of atoms



12.
First-principles (PBE) data for a relaxed HoEr8In2 crystal, as listed in the Alexandria database.

The structure in POSCAR format:
```
HoEr8In2
1.0
-0.6711 5.1818 -1.9098
-6.6539 -0.8179 5.5714
8.1610 0.1745 3.0580
Ho Er In
1 8 2
direct
0.5000 0.0000 0.0000
0.8758 0.9051 0.6760
0.8758 0.6760 0.9051
0.2970 0.5961 0.5961
0.5000 0.7850 0.2150
0.5000 0.2150 0.7850
0.7030 0.4039 0.4039
0.1242 0.3240 0.0949
0.1242 0.0949 0.3240
0.0000 0.3068 0.6932
0.0000 0.6932 0.3068
```

Properties
* ΔH_f (0 K): -0.31 eV/f.u.
* space group: No. 12
* Fermi-level density of states: 1.3629 states/eV/atom



Q: Which value of Fermi-level density of states does entry 3 give?
A: 1.5333 states/eV/atom